Here is an optimized crystal structure of CaCr2P2O10 from the Alexandria database. Energies are from PBE with a Hubbard U.

Output
- electronic total energy (eV per atom) = -7.307
- Fermi-level density of states (states/eV per atom) = 0.105
- symmetry = Fddd (70)
- magnetic moment (μB/f.u.) = 4.0

Cell: 9.8429 8.7088 6.8818 Å, 77.32 59.68 43.01°
With the nearest neighbours (Å) after each atom.
Element x y z (fractional)
P (0.2074, 0.2074, 0.7926)  4 O 1.55
P (0.7926, 0.7926, 0.2074)  4 O 1.55
P (0.0426, 0.0426, 0.4574)  4 O 1.55
P (0.4574, 0.4574, 0.0426)  4 O 1.55
O (0.9216, 0.2812, 0.5573)  1 P 1.55
O (0.2812, 0.9216, 0.2399)  1 P 1.55
O (0.5811, 0.5811, 0.4189)  2 Cr 1.86
O (0.8589, 0.6111, 0.3553)  1 P 1.55
O (0.5573, 0.2399, 0.9216)  1 P 1.55
O (0.9688, 0.3284, 0.0101)  1 P 1.55
O (0.0753, 0.8947, 0.6389)  1 P 1.55
O (0.3911, 0.6389, 0.8947)  1 P 1.55
O (0.8947, 0.0753, 0.3911)  1 P 1.55
O (0.0101, 0.6927, 0.9688)  1 P 1.55
O (0.8311, 0.8311, 0.6689)  2 Cr 1.86
O (0.3284, 0.9688, 0.6927)  1 P 1.55
O (0.6689, 0.6689, 0.8311)  2 Cr 1.86
O (0.1747, 0.3553, 0.6111)  1 P 1.55
O (0.6927, 0.0101, 0.3284)  1 P 1.55
O (0.6111, 0.8589, 0.1747)  1 P 1.55
O (0.2399, 0.5573, 0.2812)  1 P 1.55
O (0.3553, 0.1747, 0.8589)  1 P 1.55
O (0.6389, 0.3911, 0.0753)  1 P 1.55
O (0.4189, 0.4189, 0.5811)  2 Cr 1.86
Cr (0.6250, 0.6250, 0.6250)  6 O 1.86-2.04
Cr (0.6250, 0.1250, 0.6250)  6 O 1.86-2.04
Cr (0.1250, 0.6250, 0.6250)  6 O 1.86-2.04
Cr (0.6250, 0.6250, 0.1250)  6 O 1.86-2.04
Ca (0.2500, 0.2500, 0.2500)  8 O 2.39-2.66
Ca (0.0000, 0.0000, 0.0000)  8 O 2.39-2.66